Entry 1:
LiFeCl3 PBE-GGA optimized geometry; total DFT energy (no corrections) = -0.158 hartree per atom; space group = Ama2, No. 40; energy relative to the lowest polymorph listed for this composition = 0.0 meV/atom; N(E_F) = 11.15 states/eV/cell; energy relative to the elements, uncorrected = -1.12 eV per atom
1.0
3.7371 0.0000 0.0000
0.0000 11.2955 3.1462
0.0000 -11.2955 3.1462
Li Fe Cl
2 2 6
Direct
0.2500 0.1908 0.8092
0.7500 0.8092 0.1908
0.2500 0.3399 0.5956
0.7500 0.5956 0.3399
0.2500 0.0650 0.4991
0.2500 0.4252 0.2680
0.2500 0.6912 0.9633
0.7500 0.2680 0.4252
0.7500 0.4991 0.0650
0.7500 0.9633 0.6912



Entry 2:
PrClO2 PBE-GGA optimized geometry; total DFT energy (no corrections) = -0.217 hartree per atom; space group = P2_1/m, No. 11; energy relative to the lowest polymorph listed for this composition = 0.0 meV/atom; N(E_F) = 2.00 states/eV/cell; energy relative to the elements, uncorrected = -1.78 eV per atom
1.0
6.4369 0.0000 0.0000
0.0000 3.7213 0.0000
-1.5022 0.0000 6.5305
Pr Cl O
2 2 4
Direct
0.1750 0.2500 0.3190
0.8250 0.7500 0.6810
0.2393 0.7500 0.0057
0.7607 0.2500 0.9943
0.0420 0.2500 0.6296
0.4630 0.7500 0.5012
0.5370 0.2500 0.4988
0.9580 0.7500 0.3704



Please write out number 2 again, unchanged.
PrClO2 PBE-GGA optimized geometry; total DFT energy (no corrections) = -0.217 hartree per atom; space group = P2_1/m, No. 11; energy relative to the lowest polymorph listed for this composition = 0.0 meV/atom; N(E_F) = 2.00 states/eV/cell; energy relative to the elements, uncorrected = -1.78 eV per atom
1.0
6.4369 0.0000 0.0000
0.0000 3.7213 0.0000
-1.5022 0.0000 6.5305
Pr Cl O
2 2 4
Direct
0.1750 0.2500 0.3190
0.8250 0.7500 0.6810
0.2393 0.7500 0.0057
0.7607 0.2500 0.9943
0.0420 0.2500 0.6296
0.4630 0.7500 0.5012
0.5370 0.2500 0.4988
0.9580 0.7500 0.3704



- What is the energy relative to the lowest polymorph listed for this composition in the first record?
  0.0 meV/atom



Copy entry 1 word for word.
LiFeCl3 PBE-GGA optimized geometry; total DFT energy (no corrections) = -0.158 hartree per atom; space group = Ama2, No. 40; energy relative to the lowest polymorph listed for this composition = 0.0 meV/atom; N(E_F) = 11.15 states/eV/cell; energy relative to the elements, uncorrected = -1.12 eV per atom
1.0
3.7371 0.0000 0.0000
0.0000 11.2955 3.1462
0.0000 -11.2955 3.1462
Li Fe Cl
2 2 6
Direct
0.2500 0.1908 0.8092
0.7500 0.8092 0.1908
0.2500 0.3399 0.5956
0.7500 0.5956 0.3399
0.2500 0.0650 0.4991
0.2500 0.4252 0.2680
0.2500 0.6912 0.9633
0.7500 0.2680 0.4252
0.7500 0.4991 0.0650
0.7500 0.9633 0.6912



- Among the records above, which one has the lowest total DFT energy (no corrections)?
  PrClO2